VASP calculation (PBE) on SrFeAsCl after structural relaxation.

Summary:
Total moment   2.6 μB/cell
DFT total energy   -20.7 eV/f.u.
Mass density   5003 kg/m3

a b c (Å): 4.2721 4.2721 9.2329
angles (deg): 90.00 90.00 90.00
With the nearest neighbours (Å) after each atom.
Space group P4/nmm (No. 129, origin choice 2)
Inequivalent atoms, fractional coordinates:
1 Sr 0.2500 0.2500 0.2075 (multiplicity 2)  4 Cl 2.87
2 Fe 0.2500 0.7500 0.5000 (multiplicity 2)  4 As 2.39
3 As 0.2500 0.2500 0.6172 (multiplicity 2)  4 Fe 2.39
4 Cl 0.2500 0.7500 0.0000 (multiplicity 2)  4 Sr 2.87, 4 Cl 3.02